Density functional theory data (PBE-GGA) for an optimized crystal structure of CaB4W.

The structure in CIF format:
```
data_CaB4W
_cell_length_a 6.159
_cell_length_b 11.904
_cell_length_c 3.479
_cell_angle_alpha 90.00
_cell_angle_beta 90.00
_cell_angle_gamma 90.00
_space_group_name_H-M_alt 'P 1'
_space_group_IT_number 1
loop_
_space_group_symop_operation_xyz
'x,y,z'
loop_
_atom_site_label
_atom_site_type_symbol
_atom_site_fract_x
_atom_site_fract_y
_atom_site_fract_z
_atom_site_occupancy
Ca1 Ca 0.125 0.151 0.000 1
Ca2 Ca 0.375 0.651 0.000 1
Ca3 Ca 0.625 0.349 0.000 1
Ca4 Ca 0.875 0.849 0.000 1
B1 B 0.023 0.694 0.500 1
B2 B 0.117 0.548 0.500 1
B3 B 0.132 0.968 0.500 1
B4 B 0.208 0.813 0.500 1
B5 B 0.292 0.313 0.500 1
B6 B 0.368 0.468 0.500 1
B7 B 0.383 0.048 0.500 1
B8 B 0.477 0.194 0.500 1
B9 B 0.523 0.806 0.500 1
B10 B 0.617 0.952 0.500 1
B11 B 0.632 0.532 0.500 1
B12 B 0.708 0.687 0.500 1
B13 B 0.792 0.187 0.500 1
B14 B 0.868 0.032 0.500 1
B15 B 0.883 0.452 0.500 1
B16 B 0.977 0.306 0.500 1
W1 W 0.130 0.415 0.000 1
W2 W 0.370 0.915 0.000 1
W3 W 0.630 0.085 0.000 1
W4 W 0.870 0.585 0.000 1
```

Output
D(E_F): 0.1258 states/eV/atom
E_form: -0.327 eV/atom
raw total energy: -7.27 eV per atom
space-group type: Pbam, No. 55
magnetization: 0.0 μB per cell
mass density: 7.0 g/cm3